A plane-wave DFT calculation with GGA-PBE was carried out for an optimized crystal structure of Mn2Si2W.

a b c (Å): 6.786 6.786 2.724
angles (deg): 90.00 90.00 90.00
Fractional positions:
Mn1 0.152 0.348 0.000
Mn2 0.348 0.848 0.000
Mn3 0.652 0.152 0.000
Mn4 0.848 0.652 0.000
Si1 0.141 0.641 0.500
Si2 0.359 0.141 0.500
Si3 0.641 0.859 0.500
Si4 0.859 0.359 0.500
W1 0.000 0.000 0.500
W2 0.500 0.500 0.500

- Crystal system: tetragonal
- V: 125.4 Å³/cell
- Uncorrected formation energy: -0.21 eV per atom